The following is a PBE calculation of a relaxed Re2RuF2 crystal, from Alexandria via LeMat-Bulk.

Its total magnetization is 0.0 μB per formula unit. The value obtained for the raw total energy is -7.057 eV per atom. As for the uncorrected formation energy: 0.53 eV per atom.

abc: 7.0976 7.0976 2.7236
angles: 90.00 90.00 90.00
With the nearest neighbours (Å) after each atom.
Element x y z (fractional)
Re: 0.2492 0.2508 0.0000  2 F 2.03
Re: 0.2508 0.7508 0.0000  2 F 2.03
Re: 0.7492 0.2492 0.0000  2 F 2.03
Re: 0.7508 0.7492 0.0000  2 F 2.03
Ru: 0.0000 0.0000 0.5000  2 Ru 2.72, 8 Re 2.86, 4 F 2.92
Ru: 0.5000 0.5000 0.5000  2 Ru 2.72, 8 Re 2.86, 4 F 2.92
F: 0.1009 0.6009 0.5000  1 F 2.03, 2 Re 2.03
F: 0.3991 0.1009 0.5000  1 F 2.03, 2 Re 2.03
F: 0.6009 0.8991 0.5000  1 F 2.03, 2 Re 2.03
F: 0.8991 0.3991 0.5000  1 F 2.03, 2 Re 2.03



The following is a PBE calculation of a relaxed TmGaAu crystal, from Alexandria via LeMat-Bulk.

Its total magnetization is 0.0 μB per formula unit. The value obtained for the raw total energy is -4.231 eV per atom.

abc: 4.6171 4.6171 4.6171
angles: 60.00 60.00 60.00
With the nearest neighbours (Å) after each atom.
Element x y z (fractional)
Tm: 0.0000 0.0000 0.0000  4 Au 2.83
Ga: 0.5000 0.5000 0.5000  4 Au 2.83
Au: 0.2500 0.2500 0.2500  4 Tm 2.83, 4 Ga 2.83



The following is a PBE calculation of a relaxed NbSb3Au crystal, from Alexandria via LeMat-Bulk.

Its total magnetization is 0.0 μB per formula unit. The value obtained for the raw total energy is -4.680 eV per atom. As for the uncorrected formation energy: 0.46 eV per atom.

abc: 5.3116 5.3116 5.3116
angles: 90.00 90.00 90.00
With the nearest neighbours (Å) after each atom.
Element x y z (fractional)
Nb: 0.0000 0.0000 0.0000  6 Sb 2.66
Sb: 0.0000 0.0000 0.5000  2 Nb 2.66
Sb: 0.0000 0.5000 0.0000  2 Nb 2.66
Sb: 0.5000 0.0000 0.0000  2 Nb 2.66
Au: 0.5000 0.5000 0.5000  12 Sb 3.76



The following is a PBE calculation of a relaxed DyTh2Sc5 crystal, from Alexandria via LeMat-Bulk.

Its total magnetization is 0.0 μB per formula unit. The value obtained for the raw total energy is -5.996 eV per atom.

abc: 7.2096 7.2096 7.2096
angles: 137.63 100.87 94.17
With the nearest neighbours (Å) after each atom.
Element x y z (fractional)
Dy: 0.0000 0.0000 0.0000  4 Th 3.19, 4 Sc 3.56
Th: 0.1870 0.6870 0.5000  7 Sc 3.07-3.31, 2 Dy 3.19
Th: 0.8130 0.3130 0.5000  7 Sc 3.07-3.31, 2 Dy 3.19
Sc: 0.1678 0.3294 0.8383  1 Sc 2.97, 3 Th 3.11-3.31
Sc: 0.4911 0.3294 0.1617  1 Sc 2.97, 3 Th 3.11-3.31
Sc: 0.5000 0.0000 0.5000  2 Th 3.07, 8 Sc 3.43
Sc: 0.5089 0.6706 0.8383  1 Sc 2.97, 3 Th 3.11-3.31
Sc: 0.8322 0.6706 0.1617  1 Sc 2.97, 3 Th 3.11-3.31



The following is a PBE calculation of a relaxed LiLa2Hg crystal, from Alexandria via LeMat-Bulk.

Its total magnetization is 0.0 μB per formula unit. The value obtained for the raw total energy is -3.083 eV per atom.

abc: 10.8726 10.8726 10.8726
angles: 19.60 19.60 19.60
With the nearest neighbours (Å) after each atom.
Element x y z (fractional)
Li: 0.0000 0.0000 0.0000  6 La 3.52, 6 Li 3.70
La: 0.2459 0.2459 0.2459  3 Hg 3.31, 3 Li 3.52, 6 La 3.70
La: 0.7541 0.7541 0.7541  3 Hg 3.31, 3 Li 3.52, 6 La 3.70
Hg: 0.5000 0.5000 0.5000  6 La 3.31, 6 Hg 3.70



The following is a PBE calculation of a relaxed ThInCuAu crystal, from Alexandria via LeMat-Bulk.

Its total magnetization is 0.0 μB per formula unit. The value obtained for the raw total energy is -4.808 eV per atom.

abc: 4.9794 4.9794 4.9794
angles: 60.00 60.00 60.00
With the nearest neighbours (Å) after each atom.
Element x y z (fractional)
Th: 0.0000 0.0000 0.0000  4 Cu 3.05, 4 Au 3.05
In: 0.5000 0.5000 0.5000  4 Cu 3.05, 4 Au 3.05
Cu: 0.7500 0.7500 0.7500  4 In 3.05, 4 Th 3.05
Au: 0.2500 0.2500 0.2500  4 In 3.05, 4 Th 3.05



The following is a PBE calculation of a relaxed MoAuSN2 crystal, from Alexandria via LeMat-Bulk.

Its total magnetization is 0.4 μB per formula unit. The value obtained for the raw total energy is -6.402 eV per atom. As for the uncorrected formation energy: 0.58 eV per atom.

abc: 3.8533 3.8533 5.2774
angles: 90.00 90.00 90.00
With the nearest neighbours (Å) after each atom.
Element x y z (fractional)
Mo: 0.0000 0.0000 0.0000  4 N 1.93
Au: 0.5000 0.5000 0.5000  4 S 2.72
S: 0.0000 0.0000 0.5000  2 Mo 2.64, 4 Au 2.72
N: 0.0000 0.5000 0.0000  2 Mo 1.93
N: 0.5000 0.0000 0.0000  2 Mo 1.93



The following is a PBE calculation of a relaxed Cu3Ni5H12 crystal, from Alexandria via LeMat-Bulk.

Its total magnetization is 0.0 μB per formula unit. The value obtained for the raw total energy is -3.956 eV per atom.

abc: 8.8742 8.8742 8.8742
angles: 109.47 109.47 109.47
With the nearest neighbours (Å) after each atom.
Element x y z (fractional)
Cu: 0.1250 0.2500 0.3750  8 H 1.84-2.06
Cu: 0.1250 0.3750 0.7500  8 H 1.84-2.06
Cu: 0.2500 0.3750 0.1250  8 H 1.84-2.06
Cu: 0.2500 0.8750 0.6250  8 H 1.84-2.06
Cu: 0.3750 0.1250 0.2500  8 H 1.84-2.06
Cu: 0.3750 0.7500 0.1250  8 H 1.84-2.06
Cu: 0.6250 0.2500 0.8750  8 H 1.84-2.06
Cu: 0.6250 0.8750 0.7500  8 H 1.84-2.06
Cu: 0.7500 0.1250 0.3750  8 H 1.84-2.06
Cu: 0.7500 0.6250 0.8750  8 H 1.84-2.06
Cu: 0.8750 0.6250 0.2500  8 H 1.84-2.06
Cu: 0.8750 0.7500 0.6250  8 H 1.84-2.06
Ni: 0.0000 0.0000 0.0000  6 H 1.64
Ni: 0.0000 0.0000 0.5000  6 H 1.64
Ni: 0.0000 0.5000 0.0000  6 H 1.64
Ni: 0.0000 0.5000 0.5000  6 H 1.64
Ni: 0.1250 0.7500 0.8750  4 H 1.60
Ni: 0.1250 0.8750 0.2500  4 H 1.60
Ni: 0.2500 0.1250 0.8750  4 H 1.60
Ni: 0.2500 0.6250 0.3750  4 H 1.60
Ni: 0.3750 0.2500 0.6250  4 H 1.60
Ni: 0.3750 0.6250 0.7500  4 H 1.60
Ni: 0.5000 0.0000 0.0000  6 H 1.64
Ni: 0.5000 0.0000 0.5000  6 H 1.64
Ni: 0.5000 0.5000 0.0000  6 H 1.64
Ni: 0.5000 0.5000 0.5000  6 H 1.64
Ni: 0.6250 0.3750 0.2500  4 H 1.60
Ni: 0.6250 0.7500 0.3750  4 H 1.60
Ni: 0.7500 0.3750 0.6250  4 H 1.60
Ni: 0.7500 0.8750 0.1250  4 H 1.60
Ni: 0.8750 0.1250 0.7500  4 H 1.60
Ni: 0.8750 0.2500 0.1250  4 H 1.60
H: 0.0358 0.2026 0.1350  2 Ni 1.60-1.64
H: 0.0358 0.3332 0.9008  2 Ni 1.60-1.64
H: 0.0676 0.7026 0.6668  2 Ni 1.60-1.64
H: 0.0676 0.8650 0.4008  2 Ni 1.60-1.64
H: 0.0992 0.6350 0.4324  2 Ni 1.60-1.64
H: 0.0992 0.9642 0.6668  2 Ni 1.60-1.64
H: 0.1350 0.0358 0.2026  2 Ni 1.60-1.64
H: 0.1350 0.5992 0.9324  2 Ni 1.60-1.64
H: 0.1668 0.2026 0.5676  2 Ni 1.60-1.64
H: 0.1668 0.4642 0.5992  2 Ni 1.60-1.64
H: 0.2026 0.1350 0.0358  2 Ni 1.60-1.64
H: 0.2026 0.5676 0.1668  2 Ni 1.60-1.64
H: 0.2974 0.3332 0.9324  2 Ni 1.60-1.64
H: 0.2974 0.4642 0.3650  2 Ni 1.60-1.64
H: 0.3332 0.9008 0.0358  2 Ni 1.60-1.64
H: 0.3332 0.9324 0.2974  2 Ni 1.60-1.64
H: 0.3650 0.2974 0.4642  2 Ni 1.60-1.64
H: 0.3650 0.5676 0.9008  2 Ni 1.60-1.64
H: 0.4008 0.0676 0.8650  2 Ni 1.60-1.64
H: 0.4008 0.8332 0.5358  2 Ni 1.60-1.64
H: 0.4324 0.0992 0.6350  2 Ni 1.60-1.64
H: 0.4324 0.8332 0.7974  2 Ni 1.60-1.64
H: 0.4642 0.3650 0.2974  2 Ni 1.60-1.64
H: 0.4642 0.5992 0.1668  2 Ni 1.60-1.64
H: 0.5358 0.4008 0.8332  2 Ni 1.60-1.64
H: 0.5358 0.6350 0.7026  2 Ni 1.60-1.64
H: 0.5676 0.1668 0.2026  2 Ni 1.60-1.64
H: 0.5676 0.9008 0.3650  2 Ni 1.60-1.64
H: 0.5992 0.1668 0.4642  2 Ni 1.60-1.64
H: 0.5992 0.9324 0.1350  2 Ni 1.60-1.64
H: 0.6350 0.4324 0.0992  2 Ni 1.60-1.64
H: 0.6350 0.7026 0.5358  2 Ni 1.60-1.64
H: 0.6668 0.0676 0.7026  2 Ni 1.60-1.64
H: 0.6668 0.0992 0.9642  2 Ni 1.60-1.64
H: 0.7026 0.5358 0.6350  2 Ni 1.60-1.64
H: 0.7026 0.6668 0.0676  2 Ni 1.60-1.64
H: 0.7974 0.4324 0.8332  2 Ni 1.60-1.64
H: 0.7974 0.8650 0.9642  2 Ni 1.60-1.64
H: 0.8332 0.5358 0.4008  2 Ni 1.60-1.64
H: 0.8332 0.7974 0.4324  2 Ni 1.60-1.64
H: 0.8650 0.4008 0.0676  2 Ni 1.60-1.64
H: 0.8650 0.9642 0.7974  2 Ni 1.60-1.64
H: 0.9008 0.0358 0.3332  2 Ni 1.60-1.64
H: 0.9008 0.3650 0.5676  2 Ni 1.60-1.64
H: 0.9324 0.1350 0.5992  2 Ni 1.60-1.64
H: 0.9324 0.2974 0.3332  2 Ni 1.60-1.64
H: 0.9642 0.6668 0.0992  2 Ni 1.60-1.64
H: 0.9642 0.7974 0.8650  2 Ni 1.60-1.64



> What is the raw total energy in the eighth record?

-3.956 eV per atom



> What is the formula in the eighth record?

Cu3Ni5H12



Please write out number 7 again, unchanged.
The following is a PBE calculation of a relaxed MoAuSN2 crystal, from Alexandria via LeMat-Bulk.

Its total magnetization is 0.4 μB per formula unit. The value obtained for the raw total energy is -6.402 eV per atom. As for the uncorrected formation energy: 0.58 eV per atom.

abc: 3.8533 3.8533 5.2774
angles: 90.00 90.00 90.00
With the nearest neighbours (Å) after each atom.
Element x y z (fractional)
Mo: 0.0000 0.0000 0.0000  4 N 1.93
Au: 0.5000 0.5000 0.5000  4 S 2.72
S: 0.0000 0.0000 0.5000  2 Mo 2.64, 4 Au 2.72
N: 0.0000 0.5000 0.0000  2 Mo 1.93
N: 0.5000 0.0000 0.0000  2 Mo 1.93



> Number 4 is which compound?

DyTh2Sc5